# 1
The following is a PBE calculation of an optimized crystal structure of LaGdTmSn, from Alexandria.

Geometry as CIF:
```
data_LaGdTmSn
_chemical_formula_sum 'La1 Gd1 Tm1 Sn1'
_space_group_name_H-M_alt 'P 1'
_space_group_IT_number 1
_cell_length_a 5.524
_cell_length_b 5.524
_cell_length_c 5.524
_cell_angle_alpha 60.00
_cell_angle_beta 60.00
_cell_angle_gamma 60.00
loop_
_space_group_symop_operation_xyz
'x,y,z'
loop_
_atom_site_label
_atom_site_fract_x
_atom_site_fract_y
_atom_site_fract_z
Sn1 0.250 0.250 0.250
Gd1 0.000 0.000 0.000
La1 0.500 0.500 0.500
Tm1 0.750 0.750 0.750
```

Computed properties:
volume: 119 Å³/cell
ΔH_f (0 K): -0.274 eV per atom
D(E_F): 4.630 states/eV/f.u.
space-group type: F-43m (216)

=====

# 2
The following is a PBE calculation of an optimized crystal structure of Nd2InTe5, from Alexandria.

Geometry as CIF:
```
data_Nd2InTe5
_chemical_formula_sum 'Nd4 In2 Te10'
_space_group_name_H-M_alt 'P 1'
_space_group_IT_number 1
_cell_length_a 6.327
_cell_length_b 8.200
_cell_length_c 13.915
_cell_angle_alpha 90.00
_cell_angle_beta 90.00
_cell_angle_gamma 112.69
loop_
_space_group_symop_operation_xyz
'x,y,z'
loop_
_atom_site_label
_atom_site_fract_x
_atom_site_fract_y
_atom_site_fract_z
In1 0.811 0.622 0.750
In2 0.189 0.378 0.250
Te1 0.966 0.932 0.899
Te2 0.034 0.068 0.101
Te3 0.682 0.363 0.588
Te4 0.682 0.363 0.912
Te5 0.699 0.399 0.250
Te6 0.318 0.637 0.412
Te7 0.966 0.932 0.601
Te8 0.301 0.601 0.750
Te9 0.318 0.637 0.088
Te10 0.034 0.068 0.399
Nd1 0.173 0.345 0.927
Nd2 0.173 0.345 0.573
Nd3 0.827 0.655 0.073
Nd4 0.827 0.655 0.427
```

Computed properties:
volume: 666 Å³/cell
E_form (uncorrected): -0.8357 eV/atom
D(E_F): 6.380 states/eV/f.u.
space-group type: Cmcm (63)

=====

# 3
The following is a PBE calculation of an optimized crystal structure of TlAgTeSe3, from Alexandria.

Geometry as CIF:
```
data_TlAgTeSe3
_chemical_formula_sum 'Tl2 Ag2 Te2 Se6'
_space_group_name_H-M_alt 'P 1'
_space_group_IT_number 1
_cell_length_a 4.095
_cell_length_b 7.150
_cell_length_c 11.442
_cell_angle_alpha 90.00
_cell_angle_beta 90.00
_cell_angle_gamma 106.64
loop_
_space_group_symop_operation_xyz
'x,y,z'
loop_
_atom_site_label
_atom_site_fract_x
_atom_site_fract_y
_atom_site_fract_z
Se1 0.977 0.953 0.250
Se2 0.357 0.713 0.524
Se3 0.643 0.287 0.476
Se4 0.023 0.047 0.750
Se5 0.357 0.713 0.976
Se6 0.643 0.287 0.024
Te1 0.000 0.000 0.500
Te2 0.000 0.000 0.000
Ag1 0.621 0.242 0.250
Ag2 0.379 0.758 0.750
Tl1 0.299 0.599 0.250
Tl2 0.701 0.401 0.750
```

Computed properties:
volume: 321 Å³/cell
E_form (uncorrected): -0.1391 eV/atom
D(E_F): 1.919 states/eV/f.u.
space-group type: Cmcm (63)